# TlFeHg2

A relaxed TlFeHg2 crystal (GGA-PBE, the Alexandria database).

Summary:
* mass density: 12.28 g cm⁻³
* total energy: -2.44 eV/atom
* offset from the most stable computed form: 0.083 eV per atom
* N(E_F): 3.0 states/eV/cell
* SG: No. 160

CIF file:
```
data_TlFeHg2
_cell_length_a 9.9805
_cell_length_b 9.9805
_cell_length_c 9.9805
_cell_angle_alpha 18.71
_cell_angle_beta 18.71
_cell_angle_gamma 18.71
_space_group_name_H-M_alt 'P 1'
_space_group_IT_number 1
_space_group_name_Hall 'P 1'
loop_
_atom_site_label
_atom_site_fract_x
_atom_site_fract_y
_atom_site_fract_z
Hg1 0.2513 0.2513 0.2513
Fe1 0.7479 0.7479 0.7479
Hg2 0.0110 0.0110 0.0110
Tl1 0.4897 0.4897 0.4897
```